1.
PmEr | GGA-PBE | relaxed

Total magnetic moment (μB per cell): 0.9
V (Å³ per cell): 68.5
Formation energy from the elements (kJ/mol of formula units): 138
Space-group type: Fm-3m, No. 225
Relative energy among the computed polymorphs (eV/atom): 0.699

Cell: 4.592 4.592 4.592 Å, 60.00 60.00 60.00°
Fractional coordinates of all 2 atoms:
1 Er 0.000 0.000 0.000
2 Pm 0.500 0.500 0.500



2.
RbAs3Rh | GGA-PBE | relaxed

Total magnetic moment (μB per cell): 0.0
V (Å³ per cell): 125.4
Formation energy from the elements (kJ/mol of formula units): 97
Space-group type: Pm-3m, No. 221
Relative energy among the computed polymorphs (eV/atom): 0.000

Cell: 5.005 5.005 5.005 Å, 90.00 90.00 90.00°
Fractional coordinates of all 5 atoms:
1 Rb 0.500 0.500 0.500
2 As 0.000 0.500 0.000
3 As 0.000 0.000 0.500
4 As 0.500 0.000 0.000
5 Rh 0.000 0.000 0.000



3.
Tc2SnGeN | GGA-PBE | relaxed

Total magnetic moment (μB per cell): 5.0
V (Å³ per cell): 104.1
Space-group type: P4/mmm, No. 123
Relative energy among the computed polymorphs (eV/atom): 0.692

Cell: 5.120 3.971 5.120 Å, 90.00 90.00 90.00°
Fractional coordinates of all 5 atoms:
1 Ge 0.500 0.500 0.500
2 N 0.000 0.500 0.000
3 Tc 0.000 0.000 0.500
4 Tc 0.500 0.000 0.000
5 Sn 0.000 0.000 0.000



4.
ScInIrO6 | GGA-PBE | relaxed

Total magnetic moment (μB per cell): 4.4
V (Å³ per cell): 221.5
Space-group type: P-31c, No. 163

Cell: 5.269 5.269 9.212 Å, 90.00 90.00 120.00°
Fractional coordinates of all 18 atoms:
1 O 0.638 0.979 0.868
2 O 0.021 0.362 0.632
3 O 0.638 0.659 0.632
4 O 0.021 0.659 0.868
5 O 0.659 0.021 0.368
6 O 0.659 0.638 0.132
7 O 0.341 0.362 0.868
8 O 0.979 0.341 0.132
9 O 0.362 0.341 0.368
10 O 0.362 0.021 0.132
11 O 0.979 0.638 0.368
12 O 0.341 0.979 0.632
13 Sc 0.333 0.667 0.250
14 Sc 0.667 0.333 0.750
15 Ir 0.333 0.667 0.750
16 Ir 0.667 0.333 0.250
17 In 0.000 0.000 0.000
18 In 0.000 0.000 0.500



no.,DFT total energy (eV/cell)
1,-7.880
2,-21.263
3,-27.950
4,-124.284